# BaHfMgAs3

A geometry-optimized BaHfMgAs3 structure (GGA-PBE, Alexandria via LeMat-Bulk).

Values from the calculation:
- space group = No. 63

Cell: 7.431 7.431 10.420 Å, 90.00 90.00 147.27°
Atoms (fractional coordinates):
Ba1 0.250 0.750 0.750
Ba2 0.750 0.250 0.250
Hf1 0.000 0.000 0.000
Hf2 0.000 0.000 0.500
Mg1 0.471 0.529 0.250
Mg2 0.529 0.471 0.750
As1 0.073 0.927 0.250
As2 0.373 0.627 0.040
As3 0.373 0.627 0.460
As4 0.627 0.373 0.540
As5 0.627 0.373 0.960
As6 0.927 0.073 0.750

# CsKSnAs2

A geometry-optimized CsKSnAs2 structure (GGA-PBE, Alexandria via LeMat-Bulk).

Values from the calculation:
- space group = No. 12

Cell: 9.140 9.140 10.479 Å, 97.27 97.27 28.14°
Atoms (fractional coordinates):
Cs1 0.111 0.111 0.160
Cs2 0.889 0.889 0.840
K1 0.204 0.204 0.609
K2 0.796 0.796 0.391
Sn1 0.457 0.457 0.339
Sn2 0.543 0.543 0.661
As1 0.085 0.085 0.809
As2 0.396 0.396 0.563
As3 0.604 0.604 0.437
As4 0.915 0.915 0.191

# TbPu2Th3S6

A geometry-optimized TbPu2Th3S6 structure (GGA-PBE, Alexandria via LeMat-Bulk).

Values from the calculation:
- formation energy without anion corrections (eV/atom) = -1.856
- space group = No. 12

Cell: 6.849 6.849 7.012 Å, 99.36 99.36 119.94°
Atoms (fractional coordinates):
Tb1 0.000 0.000 0.000
Pu1 0.333 0.667 0.000
Pu2 0.667 0.333 0.000
Th1 0.166 0.834 0.500
Th2 0.500 0.500 0.500
Th3 0.834 0.166 0.500
S1 0.079 0.412 0.238
S2 0.254 0.254 0.762
S3 0.412 0.079 0.238
S4 0.588 0.921 0.762
S5 0.746 0.746 0.238
S6 0.921 0.588 0.762

# CeHfThMg

A geometry-optimized CeHfThMg structure (GGA-PBE, Alexandria via LeMat-Bulk).

Values from the calculation:
- space group = No. 216

Cell: 5.342 5.342 5.342 Å, 60.00 60.00 60.00°
Atoms (fractional coordinates):
Ce1 0.000 0.000 0.000
Hf1 0.750 0.750 0.750
Th1 0.500 0.500 0.500
Mg1 0.250 0.250 0.250

# Pm3Sn2Rh

A geometry-optimized Pm3Sn2Rh structure (GGA-PBE, Alexandria via LeMat-Bulk).

Values from the calculation:
- space group = No. 72

Cell: 9.271 9.271 9.271 Å, 140.97 57.28 139.79°
Atoms (fractional coordinates):
Pm1 0.174 0.234 0.407
Pm2 0.250 0.250 0.000
Pm3 0.326 0.734 0.060
Pm4 0.674 0.266 0.940
Pm5 0.750 0.750 0.000
Pm6 0.826 0.766 0.593
Sn1 0.127 0.713 0.840
Sn2 0.373 0.213 0.586
Sn3 0.627 0.787 0.414
Sn4 0.873 0.287 0.160
Rh1 0.250 0.750 0.500
Rh2 0.750 0.250 0.500

# Pm3Si3Pd

A geometry-optimized Pm3Si3Pd structure (GGA-PBE, Alexandria via LeMat-Bulk).

Values from the calculation:
- formation energy without anion corrections (eV/atom) = -0.807
- space group = No. 44

Cell: 9.628 9.628 9.628 Å, 155.73 154.19 35.72°
Atoms (fractional coordinates):
Pm1 0.000 0.000 0.000
Pm2 0.187 0.687 0.500
Pm3 0.369 0.369 0.000
Si1 0.541 0.541 0.000
Si2 0.749 0.249 0.500
Si3 0.827 0.827 0.000
Pd1 0.620 0.120 0.500

# ZrBeW2

A geometry-optimized ZrBeW2 structure (GGA-PBE, Alexandria via LeMat-Bulk).

Values from the calculation:
- space group = No. 8

Cell: 4.855 4.855 5.093 Å, 98.61 98.61 33.41°
Atoms (fractional coordinates):
Zr1 0.000 0.000 0.000
Be1 0.253 0.253 0.779
W1 0.538 0.538 0.531
W2 0.774 0.774 0.302

# Ce2PIr

A geometry-optimized Ce2PIr structure (GGA-PBE, Alexandria via LeMat-Bulk).

Values from the calculation:
- space group = No. 141

Cell: 7.062 7.062 7.062 Å, 131.60 131.60 70.87°
Atoms (fractional coordinates):
Ce1 0.121 0.371 0.750
Ce2 0.371 0.121 0.250
Ce3 0.629 0.879 0.750
Ce4 0.879 0.629 0.250
P1 0.375 0.625 0.750
P2 0.625 0.375 0.250
Ir1 0.125 0.875 0.250
Ir2 0.875 0.125 0.750

# RbTlCd4In2

A geometry-optimized RbTlCd4In2 structure (GGA-PBE, Alexandria via LeMat-Bulk).

Values from the calculation:
- space group = No. 166

Cell: 11.724 11.724 11.724 Å, 24.81 24.81 24.81°
Atoms (fractional coordinates):
Rb1 0.000 0.000 0.000
Tl1 0.500 0.500 0.500
Cd1 0.124 0.124 0.124
Cd2 0.404 0.404 0.404
Cd3 0.596 0.596 0.596
Cd4 0.876 0.876 0.876
In1 0.241 0.241 0.241
In2 0.759 0.759 0.759

# BPt3O

A geometry-optimized BPt3O structure (GGA-PBE, Alexandria via LeMat-Bulk).

Values from the calculation:
- formation energy without anion corrections (eV/atom) = 0.610
- space group = No. 221

Cell: 4.143 4.143 4.143 Å, 90.00 90.00 90.00°
Atoms (fractional coordinates):
B1 0.000 0.000 0.000
Pt1 0.000 0.000 0.500
Pt2 0.000 0.500 0.000
Pt3 0.500 0.000 0.000
O1 0.500 0.500 0.500

# Ti2HW

A geometry-optimized Ti2HW structure (GGA-PBE, Alexandria via LeMat-Bulk).

Values from the calculation:
- space group = No. 225

Cell: 4.312 4.312 4.312 Å, 60.00 60.00 60.00°
Atoms (fractional coordinates):
Ti1 0.250 0.250 0.250
Ti2 0.750 0.750 0.750
H1 0.000 0.000 0.000
W1 0.500 0.500 0.500

# Mg3Tl2Sn

A geometry-optimized Mg3Tl2Sn structure (GGA-PBE, Alexandria via LeMat-Bulk).

Values from the calculation:
- space group = No. 65

Cell: 8.532 8.532 3.422 Å, 90.00 90.00 143.29°
Atoms (fractional coordinates):
Mg1 0.000 0.000 0.000
Mg2 0.341 0.659 0.000
Mg3 0.659 0.341 0.000
Tl1 0.170 0.830 0.500
Tl2 0.830 0.170 0.500
Sn1 0.500 0.500 0.500

# La6PmPrEr2

A geometry-optimized La6PmPrEr2 structure (GGA-PBE, Alexandria via LeMat-Bulk).

Values from the calculation:
- space group = No. 12

Cell: 6.737 6.737 8.949 Å, 100.68 100.68 65.30°
Atoms (fractional coordinates):
La1 0.102 0.544 0.198
La2 0.142 0.142 0.442
La3 0.456 0.898 0.802
La4 0.544 0.102 0.198
La5 0.858 0.858 0.558
La6 0.898 0.456 0.802
Pm1 0.500 0.500 0.500
Pr1 0.000 0.000 0.000
Er1 0.407 0.407 0.840
Er2 0.593 0.593 0.160

# SmDy4Tm8

A geometry-optimized SmDy4Tm8 structure (GGA-PBE, Alexandria via LeMat-Bulk).

Values from the calculation:
- space group = No. 166

Cell: 9.830 9.830 9.830 Å, 43.16 43.16 43.16°
Atoms (fractional coordinates):
Sm1 0.000 0.000 0.000
Dy1 0.000 0.000 0.500
Dy2 0.000 0.500 0.000
Dy3 0.500 0.000 0.000
Dy4 0.500 0.500 0.500
Tm1 0.250 0.250 0.692
Tm2 0.250 0.692 0.250
Tm3 0.282 0.282 0.282
Tm4 0.308 0.750 0.750
Tm5 0.692 0.250 0.250
Tm6 0.718 0.718 0.718
Tm7 0.750 0.308 0.750
Tm8 0.750 0.750 0.308

# Y2Ho5Th5

A geometry-optimized Y2Ho5Th5 structure (GGA-PBE, Alexandria via LeMat-Bulk).

Values from the calculation:
- space group = No. 12

Cell: 7.935 7.935 11.285 Å, 114.94 114.94 36.93°
Atoms (fractional coordinates):
Y1 0.083 0.083 0.250
Y2 0.917 0.917 0.750
Ho1 0.332 0.332 0.496
Ho2 0.415 0.415 0.252
Ho3 0.500 0.500 0.000
Ho4 0.585 0.585 0.748
Ho5 0.668 0.668 0.504
Th1 0.000 0.000 0.500
Th2 0.169 0.169 0.003
Th3 0.249 0.249 0.753
Th4 0.751 0.751 0.247
Th5 0.831 0.831 0.997

# Ce9TlPb2

A geometry-optimized Ce9TlPb2 structure (GGA-PBE, Alexandria via LeMat-Bulk).

Values from the calculation:
- space group = No. 123

Cell: 4.830 4.830 14.471 Å, 90.00 90.00 90.00°
Atoms (fractional coordinates):
Ce1 0.000 0.000 0.000
Ce2 0.000 0.000 0.332
Ce3 0.000 0.000 0.668
Ce4 0.000 0.500 0.166
Ce5 0.000 0.500 0.500
Ce6 0.000 0.500 0.834
Ce7 0.500 0.000 0.166
Ce8 0.500 0.000 0.500
Ce9 0.500 0.000 0.834
Tl1 0.500 0.500 0.000
Pb1 0.500 0.500 0.333
Pb2 0.500 0.500 0.667

# Sb4TeRu

A geometry-optimized Sb4TeRu structure (GGA-PBE, Alexandria via LeMat-Bulk).

Values from the calculation:
- formation energy without anion corrections (eV/atom) = 0.899
- space group = No. 216

Cell: 6.152 6.152 6.152 Å, 60.00 60.00 60.00°
Atoms (fractional coordinates):
Sb1 0.125 0.125 0.125
Sb2 0.125 0.125 0.624
Sb3 0.125 0.624 0.125
Sb4 0.624 0.125 0.125
Te1 0.750 0.750 0.750
Ru1 0.500 0.500 0.500

# CaPm8Er2

A geometry-optimized CaPm8Er2 structure (GGA-PBE, Alexandria via LeMat-Bulk).

Values from the calculation:
- space group = No. 71

Cell: 9.467 9.467 9.467 Å, 145.25 126.57 65.32°
Atoms (fractional coordinates):
Ca1 0.000 0.000 0.000
Pm1 0.157 0.857 0.300
Pm2 0.161 0.661 0.500
Pm3 0.309 0.500 0.809
Pm4 0.443 0.143 0.300
Pm5 0.557 0.857 0.700
Pm6 0.691 0.500 0.191
Pm7 0.839 0.339 0.500
Pm8 0.843 0.143 0.700
Er1 0.297 0.297 0.000
Er2 0.703 0.703 0.000

# Ce2ThP3

A geometry-optimized Ce2ThP3 structure (GGA-PBE, Alexandria via LeMat-Bulk).

Values from the calculation:
- space group = No. 26

Cell: 3.841 10.630 7.093 Å, 90.00 90.00 90.00°
Atoms (fractional coordinates):
Ce1 0.000 0.001 0.000
Ce2 0.000 0.999 0.500
Ce3 0.500 0.338 0.992
Ce4 0.500 0.662 0.492
Th1 0.500 0.340 0.503
Th2 0.500 0.660 0.003
P1 0.000 0.210 0.748
P2 0.000 0.477 0.247
P3 0.000 0.523 0.747
P4 0.000 0.790 0.248
P5 0.500 0.128 0.250
P6 0.500 0.872 0.750

# CaTa2Pb

A geometry-optimized CaTa2Pb structure (GGA-PBE, Alexandria via LeMat-Bulk).

Values from the calculation:
- space group = No. 99

Cell: 3.087 3.087 9.619 Å, 90.00 90.00 90.00°
Atoms (fractional coordinates):
Ca1 0.000 0.000 0.000
Ta1 0.000 0.000 0.517
Ta2 0.500 0.500 0.731
Pb1 0.500 0.500 0.278

What did we get for total energy? Answer: -5.38, -3.35, -8.55, -6.03, -5.49, -5.91, -9.15, -7.53, -1.55, -5.34, -7.43, -2.32, -4.64, -4.31, -6.03, -5.49, -3.92, -4.32, -7.10, -6.95 eV/atom, in the order shown.
What did we get for mass density? Answer: 6.03, 3.57, 9.46, 8.86, 8.02, 6.51, 11.90, 8.67, 6.45, 14.30, 8.22, 6.70, 6.71, 8.87, 9.39, 9.25, 7.22, 6.64, 6.94, 11.04 Mg/m³, in the order shown.